(1)
This record from Alexandria describes an optimized crystal structure of NaIr3Se. The functional is PBE.

Cell: 4.631 4.631 4.631 Å, 90.00 90.00 90.00°
Fractional positions:
Se 0.000 0.000 0.000
Na 0.500 0.500 0.500
Ir 0.500 0.000 0.000
Ir 0.000 0.000 0.500
Ir 0.000 0.500 0.000

V (Å³/atom): 19.9
Formation energy (no corrections) (eV/atom): 0.990
E (eV per atom): -5.288
Size of the total moment (μB/cell): 0.00
Distance to the lowest polymorph of the same formula (meV per atom): 0.0
Calculated density (Mg/m³): 11.34

(2)
This record from Alexandria describes an optimized crystal structure of CdGeF2. The functional is PBE.

Cell: 8.108 8.108 8.108 Å, 21.78 21.78 21.78°
Fractional positions:
Cd 0.500 0.500 0.500
Ge 0.000 0.000 0.000
F 0.086 0.086 0.086
F 0.914 0.914 0.914

V (Å³/atom): 16.1
Formation energy (no corrections) (eV/atom): -1.358
E (eV per atom): -3.677
Size of the total moment (μB/cell): 0.00
Distance to the lowest polymorph of the same formula (meV per atom): 0.0
Calculated density (Mg/m³): 5.76

(3)
This record from Alexandria describes an optimized crystal structure of La5Fe. The functional is PBE.

Cell: 6.549 6.549 6.549 Å, 60.00 60.00 60.00°
Fractional positions:
La 0.627 0.627 0.118
La 0.627 0.118 0.627
La 0.118 0.627 0.627
La 0.250 0.250 0.250
La 0.627 0.627 0.627
Fe 0.000 0.000 0.000

V (Å³/atom): 33.1
Calculated formation energy (meV/atom): 615
E (eV per atom): -4.902
Size of the total moment (μB/cell): 2.78
Distance to the lowest polymorph of the same formula (meV per atom): 520.4
Calculated density (Mg/m³): 6.27

(4)
This record from Alexandria describes an optimized crystal structure of TaSiOs2. The functional is PBE.

Cell: 8.505 8.505 8.505 Å, 19.44 19.44 19.44°
Fractional positions:
Si 0.250 0.250 0.250
Os 0.507 0.507 0.507
Os 0.993 0.993 0.993
Ta 0.750 0.750 0.750

V (Å³/atom): 14.9
Formation energy (no corrections) (eV/atom): -0.057
E (eV per atom): -9.991
Size of the total moment (μB/cell): 0.00
Calculated density (Mg/m³): 16.43

(5)
This record from Alexandria describes an optimized crystal structure of TbSmTm2. The functional is PBE.

Cell: 3.620 6.692 6.692 Å, 55.69 74.34 74.33°
Fractional positions:
Tm 0.499 0.584 0.417
Tm 0.001 0.083 0.916
Sm 0.250 0.167 0.333
Tb 0.750 0.666 0.834

V (Å³/atom): 31.9
Calculated formation energy (meV/atom): 17
E (eV per atom): -4.556
Size of the total moment (μB/cell): 0.00
Distance to the lowest polymorph of the same formula (meV per atom): 4.4
Calculated density (Mg/m³): 8.43

(6)
This record from Alexandria describes an optimized crystal structure of LaZrNi. The functional is PBE.

Cell: 4.325 4.325 4.580 Å, 90.00 90.00 120.00°
Fractional positions:
Zr 0.333 0.667 0.512
Ni 0.667 0.333 0.480
La 0.000 0.000 0.008

V (Å³/atom): 24.7
Calculated formation energy (meV/atom): -41
E (eV per atom): -6.460
Size of the total moment (μB/cell): 0.00
Distance to the lowest polymorph of the same formula (meV per atom): 81.2
Calculated density (Mg/m³): 6.46

(7)
This record from Alexandria describes an optimized crystal structure of Cs2GaP. The functional is PBE.

Cell: 12.595 7.021 8.315 Å, 102.82 90.00 90.00°
Fractional positions:
P 0.930 0.916 0.669
P 0.570 0.416 0.669
P 0.430 0.584 0.331
P 0.070 0.084 0.331
Cs 0.883 0.223 0.056
Cs 0.383 0.277 0.944
Cs 0.342 0.069 0.432
Cs 0.658 0.931 0.568
Cs 0.617 0.723 0.056
Cs 0.158 0.569 0.432
Cs 0.842 0.431 0.568
Cs 0.117 0.777 0.944
Ga 0.426 0.631 0.635
Ga 0.926 0.869 0.365
Ga 0.574 0.369 0.365
Ga 0.074 0.131 0.635

V (Å³/atom): 44.8
Calculated formation energy (meV/atom): -282
E (eV per atom): -2.818
Size of the total moment (μB/cell): 0.00
Distance to the lowest polymorph of the same formula (meV per atom): 0.0
Calculated density (Mg/m³): 3.40

(8)
This record from Alexandria describes an optimized crystal structure of NaBiPb2Br. The functional is PBE.

Cell: 5.873 4.968 5.873 Å, 90.00 90.00 90.00°
Fractional positions:
Pb 0.000 0.000 0.500
Pb 0.500 0.000 0.000
Br 0.000 0.500 0.000
Na 0.000 0.000 0.000
Bi 0.500 0.500 0.500

V (Å³/atom): 34.3
Formation energy (no corrections) (eV/atom): 0.213
E (eV per atom): -2.645
Size of the total moment (μB/cell): 0.00
Calculated density (Mg/m³): 7.04

(9)
This record from Alexandria describes an optimized crystal structure of DyAlIn. The functional is PBE.

Cell: 3.452 3.452 6.424 Å, 105.59 105.59 90.00°
Fractional positions:
In 0.601 0.601 0.201
Dy 0.292 0.292 0.584
Al 0.958 0.958 0.915

V (Å³/atom): 23.6
Calculated formation energy (meV/atom): -225
E (eV per atom): -3.920
Size of the total moment (μB/cell): 0.00
Calculated density (Mg/m³): 7.14

(10)
This record from Alexandria describes an optimized crystal structure of CsI2Cl4. The functional is PBE.

Cell: 8.958 9.145 10.189 Å, 80.02 69.55 108.86°
Fractional positions:
Cl 0.204 0.513 0.600
Cl 0.697 0.582 0.128
Cl 0.793 0.091 0.775
Cl 0.626 0.996 0.302
Cl 0.374 0.352 0.970
Cl 0.793 0.630 0.507
Cl 0.311 0.077 0.640
Cl 0.209 0.738 0.091
I 0.413 0.862 0.202
I 0.555 0.357 0.567
I 0.589 0.227 0.873
I 0.449 0.544 0.364
Cs 0.999 0.008 0.012
Cs 0.487 0.773 0.720

V (Å³/atom): 50.0
Formation energy (no corrections) (eV/atom): -0.703
E (eV per atom): -2.323
Size of the total moment (μB/cell): 0.00
Distance to the lowest polymorph of the same formula (meV per atom): 0.0
Calculated density (Mg/m³): 2.51

(11)
This record from Alexandria describes an optimized crystal structure of SrCaVRh2. The functional is PBE.

Cell: 5.034 4.894 5.034 Å, 90.00 90.00 90.00°
Fractional positions:
Ca 0.500 0.500 0.500
Rh 0.000 0.000 0.500
Rh 0.500 0.000 0.000
Sr 0.000 0.000 0.000
V 0.000 0.500 0.000

V (Å³/atom): 24.8
Calculated formation energy (meV/atom): 1477
E (eV per atom): -4.024
Size of the total moment (μB/cell): 0.73
Calculated density (Mg/m³): 5.15

(12)
This record from Alexandria describes an optimized crystal structure of BaZrVP2. The functional is PBE.

Cell: 5.350 5.350 5.027 Å, 90.00 90.00 90.00°
Fractional positions:
P 0.500 0.000 0.000
P 0.000 0.500 0.000
V 0.000 0.000 0.500
Zr 0.500 0.500 0.500
Ba 0.000 0.000 0.000

V (Å³/atom): 28.8
Calculated formation energy (meV/atom): 1817
E (eV per atom): -4.265
Size of the total moment (μB/cell): 3.44
Calculated density (Mg/m³): 3.94

(13)
This record from Alexandria describes an optimized crystal structure of Ga8Ag2Pd. The functional is PBE.

Cell: 4.441 5.506 9.555 Å, 115.88 103.44 90.00°
Fractional positions:
Ga 0.623 0.461 0.246
Ga 0.000 0.736 0.000
Ga 0.633 0.963 0.266
Ga 0.208 0.327 0.416
Ga 0.792 0.673 0.584
Ga 0.367 0.037 0.734
Ga 0.377 0.539 0.754
Ga 0.000 0.264 0.000
Ag 0.188 0.798 0.376
Ag 0.812 0.202 0.624
Pd 0.500 0.000 0.000

V (Å³/atom): 18.5
Calculated formation energy (meV/atom): -105
E (eV per atom): -3.297
Size of the total moment (μB/cell): 0.00
Calculated density (Mg/m³): 7.20

(14)
This record from Alexandria describes an optimized crystal structure of Ba2NaSbH. The functional is PBE.

Cell: 5.560 5.560 4.871 Å, 90.00 90.00 90.00°
Fractional positions:
Ba 0.000 0.500 0.000
Ba 0.500 0.000 0.000
Sb 0.500 0.500 0.500
H 0.000 0.000 0.000
Na 0.000 0.000 0.500

V (Å³/atom): 30.1
E (eV per atom): -3.129
Size of the total moment (μB/cell): 0.00
Calculated density (Mg/m³): 4.64

(15)
This record from Alexandria describes an optimized crystal structure of NbSn2IrAu. The functional is PBE.

Cell: 4.983 5.225 4.983 Å, 90.00 90.00 90.00°
Fractional positions:
Ir 0.000 0.000 0.000
Nb 0.500 0.500 0.500
Au 0.000 0.500 0.000
Sn 0.000 0.000 0.500
Sn 0.500 0.000 0.000

V (Å³/atom): 25.9
Calculated formation energy (meV/atom): 842
E (eV per atom): -5.201
Size of the total moment (μB/cell): 3.57
Calculated density (Mg/m³): 9.21

(16)
This record from Alexandria describes an optimized crystal structure of CaBBr2. The functional is PBE.

Cell: 5.111 5.111 5.111 Å, 60.00 60.00 60.00°
Fractional positions:
Br 0.250 0.250 0.250
Br 0.750 0.750 0.750
B 0.000 0.000 0.000
Ca 0.500 0.500 0.500

V (Å³/atom): 23.6
Formation energy (no corrections) (eV/atom): -0.010
E (eV per atom): -3.016
Size of the total moment (μB/cell): 0.67
Distance to the lowest polymorph of the same formula (meV per atom): 66.6
Calculated density (Mg/m³): 3.71

(17)
This record from Alexandria describes an optimized crystal structure of HfV2Hg. The functional is PBE.

Cell: 7.387 7.387 5.908 Å, 51.31 51.31 90.00°
Fractional positions:
Hf 0.500 0.500 0.000
Hf 0.250 0.750 0.500
V 0.875 0.882 0.750
V 0.118 0.625 0.250
V 0.632 0.125 0.250
V 0.375 0.368 0.750
Hg 0.750 0.250 0.500
Hg 0.000 0.000 0.000

V (Å³/atom): 18.8
Calculated formation energy (meV/atom): 761
E (eV per atom): -6.362
Size of the total moment (μB/cell): 1.09
Calculated density (Mg/m³): 10.60

(18)
This record from Alexandria describes an optimized crystal structure of B2C. The functional is PBE.

Cell: 4.346 4.346 9.073 Å, 58.94 58.94 35.76°
Fractional positions:
B 0.343 0.343 0.786
B 0.891 0.891 0.036
B 0.356 0.356 0.319
B 0.660 0.660 0.659
B 0.643 0.643 0.176
B 0.475 0.475 0.881
B 0.548 0.548 0.393
B 0.243 0.243 0.024
C 0.831 0.831 0.695
C 0.812 0.812 0.238
C 0.185 0.185 0.530
C 0.014 0.014 0.513

V (Å³/atom): 7.0
Calculated formation energy (meV/atom): 387
E (eV per atom): -7.140
Size of the total moment (μB/cell): 0.00
Distance to the lowest polymorph of the same formula (meV per atom): 201.3
Calculated density (Mg/m³): 2.65

(19)
This record from Alexandria describes an optimized crystal structure of TlInOs2. The functional is PBE.

Cell: 5.497 5.497 5.044 Å, 69.27 69.27 31.05°
Fractional positions:
Os 0.720 0.720 0.697
Os 0.031 0.031 0.052
Tl 0.477 0.477 0.572
In 0.272 0.272 0.180

V (Å³/atom): 18.3
Calculated formation energy (meV/atom): 708
E (eV per atom): -6.183
Size of the total moment (μB/cell): 0.00
Distance to the lowest polymorph of the same formula (meV per atom): 290.9
Calculated density (Mg/m³): 15.89

(20)
This record from Alexandria describes an optimized crystal structure of Dy2LuTl. The functional is PBE.

Cell: 4.840 4.808 4.808 Å, 90.00 90.00 90.00°
Fractional positions:
Dy 0.000 0.500 0.000
Dy 0.000 0.000 0.500
Tl 0.500 0.500 0.500
Lu 0.500 0.000 0.000

V (Å³/atom): 28.0
Calculated formation energy (meV/atom): -168
E (eV per atom): -4.191
Size of the total moment (μB/cell): 0.65
Distance to the lowest polymorph of the same formula (meV per atom): 0.0
Calculated density (Mg/m³): 10.45